KNiF3: optimized geometry, PBE with a Hubbard U.

SG   No. 14
DOS at the Fermi energy   0.00 states/eV per cell
Final energy   -4.2736 eV/atom

abc: 22.1112 5.3929 8.4458
angles: 90.00 163.53 90.00
Last column: magnetic moment on the atom in μB.
Atoms (fractional coordinates):
F: 0.3674 0.4162 0.2731  0.05
F: 0.1989 0.4323 0.5387  0.06
F: 0.1326 0.9162 0.2269  0.05
F: 0.6326 0.5838 0.7269  0.05
F: 0.4152 0.8204 0.5934  0.03
K: 0.0076 0.7706 0.6393  0.00
K: 0.4924 0.2706 0.8607  0.00
F: 0.3011 0.9323 0.9613  0.06
Ni: 0.9669 0.2395 0.8206  1.83
F: 0.5848 0.1796 0.4066  0.03
K: 0.5076 0.7294 0.1393  0.00
F: 0.6989 0.0677 0.0387  0.06
Ni: 0.5331 0.7395 0.6794  1.83
F: 0.9152 0.6796 0.0934  0.03
Ni: 0.4669 0.2605 0.3206  1.83
Ni: 0.0331 0.7605 0.1794  1.83
K: 0.9924 0.2294 0.3607  0.00
F: 0.0848 0.3204 0.9066  0.03
F: 0.8674 0.0838 0.7731  0.05
F: 0.8011 0.5677 0.4613  0.06